1.
# ScGaTc | Alexandria via LeMat-Bulk | PBE-GGA | optimized geometry
# relative energy among the computed polymorphs: 0.00 eV per formula unit
data_ScGaTc
_chemical_formula_sum 'Sc2 Ga2 Tc2'
_symmetry_space_group_name_H-M 'P 1'
_symmetry_Int_Tables_number 1
_cell_length_a 5.239
_cell_length_b 5.239
_cell_length_c 5.239
_cell_angle_alpha 90.64
_cell_angle_beta 120.22
_cell_angle_gamma 119.05
loop_
_symmetry_equiv_pos_as_xyz
'x,y,z'
loop_
_atom_site_label
_atom_site_type_symbol
_atom_site_fract_x
_atom_site_fract_y
_atom_site_fract_z
Ga1 Ga 0.500 0.000 0.500
Sc1 Sc 0.250 0.135 0.885
Ga2 Ga 0.000 0.500 0.500
Tc1 Tc 0.500 0.500 0.500
Sc2 Sc 0.750 0.865 0.115
Tc2 Tc 0.000 0.500 0.000



2.
# Dy4ErTl5 | Alexandria via LeMat-Bulk | PBE-GGA | optimized geometry
# uncorrected energy: -3.8156 eV per atom
data_Dy4ErTl5
_chemical_formula_sum 'Dy4 Er1 Tl5'
_symmetry_space_group_name_H-M 'P 1'
_symmetry_Int_Tables_number 1
_cell_length_a 3.753
_cell_length_b 3.753
_cell_length_c 19.322
_cell_angle_alpha 90.00
_cell_angle_beta 90.00
_cell_angle_gamma 90.00
loop_
_symmetry_equiv_pos_as_xyz
'x,y,z'
loop_
_atom_site_label
_atom_site_type_symbol
_atom_site_fract_x
_atom_site_fract_y
_atom_site_fract_z
Tl1 Tl 0.500 0.500 0.902
Er1 Er 0.000 0.000 0.000
Tl2 Tl 0.500 0.500 0.500
Dy1 Dy 0.000 0.000 0.400
Dy2 Dy 0.000 0.000 0.199
Tl3 Tl 0.500 0.500 0.098
Tl4 Tl 0.500 0.500 0.299
Tl5 Tl 0.500 0.500 0.701
Dy3 Dy 0.000 0.000 0.600
Dy4 Dy 0.000 0.000 0.801